## Ti3AsSe (PBE)

Data for Ti3AsSe after structural relaxation.

Unit cell a=4.676 b=4.676 c=4.676 alpha=90.00 beta=90.00 gamma=90.00
Space group Pm-3m (No. 221)
Unique sites:
Ti 0.000 0.000 0.500 [3 per cell]
As 0.500 0.500 0.500 [1 per cell]
Se 0.000 0.000 0.000 [1 per cell]

volume	102.26	Å³ per cell
distance to the lowest polymorph of the same formula	0	meV/atom
raw formation energy	0.5	eV/f.u.

## Cd2SiNi (PBE)

Data for Cd2SiNi after structural relaxation.

Unit cell a=4.046 b=4.046 c=8.273 alpha=90.00 beta=90.00 gamma=90.00
Space group I-4m2 (No. 119)
Unique sites:
Cd 0.000 0.000 0.000 [2 per cell]
Cd 0.000 0.500 0.250 [2 per cell]
Si 0.000 0.000 0.500 [2 per cell]
Ni 0.000 0.500 0.750 [2 per cell]

volume	135.44	Å³ per cell
raw formation energy	1.0	eV/f.u.

## La8Y2Mg (PBE)

Data for La8Y2Mg after structural relaxation.

Unit cell a=17.301 b=5.786 c=9.120 alpha=90.00 beta=120.73 gamma=90.00
Space group C2/m (No. 12)
Unique sites:
La 0.068 0.000 0.220 [4 per cell]
La 0.084 0.500 0.938 [4 per cell]
La 0.128 0.000 0.667 [4 per cell]
La 0.181 0.500 0.439 [4 per cell]
Y 0.233 0.000 0.107 [4 per cell]
Mg 0.000 0.500 0.500 [2 per cell]

formation energy from the elements	1.06	kcal/mol of atoms
volume	784.76	Å³ per cell

## CaZrCl2 (PBE)

Data for CaZrCl2 after structural relaxation.

Unit cell a=3.600 b=3.600 c=7.046 alpha=90.00 beta=90.00 gamma=90.00
Space group P4mm (No. 99)
Unique sites:
Ca 0.000 0.000 0.000 [1 per cell]
Zr 0.500 0.500 0.639 [1 per cell]
Cl 0.000 0.000 0.524 [1 per cell]
Cl 0.500 0.500 0.221 [1 per cell]

volume	91.31	Å³ per cell
distance to the lowest polymorph of the same formula	24	meV/atom
raw formation energy	-4.6	eV/f.u.

## GeSeBr2 (PBE)

Data for GeSeBr2 after structural relaxation.

Unit cell a=3.4209 b=3.4209 c=29.6928 alpha=90.00 beta=90.00 gamma=120.00
Space group R-3m (No. 166, hexagonal axes)
Unique sites:
Ge 0.0000 0.0000 0.0000 [3 per cell]
Se 0.0000 0.0000 0.5000 [3 per cell]
Br 0.0000 0.0000 0.0870 [6 per cell]

volume	300.93	Å³ per cell
distance to the lowest polymorph of the same formula	923	meV/atom
raw formation energy	1.8	eV/f.u.

## CuHgAu2 (PBE)

Data for CuHgAu2 after structural relaxation.

Unit cell a=4.025 b=4.293 c=8.186 alpha=90.00 beta=90.00 gamma=90.00
Space group Imm2 (No. 44)
Unique sites:
Cu 0.000 0.000 0.000 [2 per cell]
Hg 0.000 0.500 0.254 [2 per cell]
Au 0.000 0.000 0.496 [2 per cell]
Au 0.000 0.500 0.739 [2 per cell]

formation energy from the elements	1.76	kcal/mol of atoms
volume	141.47	Å³ per cell

## Sn4Rh (PBE)

Data for Sn4Rh after structural relaxation.

Unit cell a=6.8632 b=6.8632 c=8.7483 alpha=90.00 beta=90.00 gamma=120.00
Space group P3_121 (No. 152)
Unique sites:
Sn 0.0000 0.0922 0.1667 [3 per cell]
Sn 0.0000 0.6300 0.1667 [3 per cell]
Sn 0.2374 0.4995 0.9297 [6 per cell]
Rh 0.0000 0.3092 0.6667 [3 per cell]

formation energy from the elements	-6.36	kcal/mol of atoms
volume	356.87	Å³ per cell

## MgBe2Au (PBE)

Data for MgBe2Au after structural relaxation.

Unit cell a=6.931 b=3.990 c=4.832 alpha=90.00 beta=118.06 gamma=90.00
Space group C2/m (No. 12)
Unique sites:
Mg 0.000 0.000 0.000 [2 per cell]
Be 0.197 0.000 0.591 [4 per cell]
Au 0.000 0.500 0.500 [2 per cell]

formation energy from the elements	-2.14	kcal/mol of atoms
volume	117.93	Å³ per cell

## AcAl3Au (PBE)

Data for AcAl3Au after structural relaxation.

Unit cell a=6.5328 b=6.5328 c=6.0799 alpha=90.00 beta=90.00 gamma=120.00
Space group P6_3/mmc (No. 194)
Unique sites:
Ac 0.3333 0.6667 0.2500 [2 per cell]
Al 0.1943 0.3886 0.7500 [6 per cell]
Au 0.0000 0.0000 0.0000 [2 per cell]

formation energy from the elements	-8.61	kcal/mol of atoms
volume	224.72	Å³ per cell
distance to the lowest polymorph of the same formula	240	meV/atom

## CsNa2NpF8 (PBE)

Data for CsNa2NpF8 after structural relaxation.

Unit cell a=5.107 b=5.760 c=8.604 alpha=83.14 beta=84.45 gamma=80.19
Space group P-1 (No. 2)
Unique sites:
Cs 0.000 0.000 0.000 [1 per cell]
Na 0.463 0.470 0.194 [2 per cell]
Np 0.000 0.000 0.500 [1 per cell]
F 0.191 0.790 0.685 [2 per cell]
F 0.196 0.773 0.337 [2 per cell]
F 0.289 0.216 0.456 [2 per cell]
F 0.382 0.295 0.998 [2 per cell]

volume	246.86	Å³ per cell
raw formation energy	-35.9	eV/f.u.

## YCdIr2 (PBE)

Data for YCdIr2 after structural relaxation.

Unit cell a=7.520 b=7.520 c=5.750 alpha=90.00 beta=90.00 gamma=90.00
Space group I-42d (No. 122)
Unique sites:
Y 0.000 0.000 0.000 [4 per cell]
Cd 0.000 0.000 0.500 [4 per cell]
Ir 0.238 0.750 0.625 [8 per cell]

formation energy from the elements	4.76	kcal/mol of atoms
volume	325.18	Å³ per cell

## Rb2CoIr2 (PBE)

Data for Rb2CoIr2 after structural relaxation.

Unit cell a=4.239 b=4.239 c=14.871 alpha=90.00 beta=90.00 gamma=90.00
Space group I4/mmm (No. 139)
Unique sites:
Rb 0.000 0.500 0.250 [4 per cell]
Co 0.000 0.000 0.000 [2 per cell]
Ir 0.000 0.000 0.422 [4 per cell]

formation energy from the elements	44.07	kcal/mol of atoms
volume	267.22	Å³ per cell
distance to the lowest polymorph of the same formula	1202	meV/atom